(1)
Below is a relaxed structure of CsSmMn2Cl8, with properties calculated at the PBE-GGA level.

Summary:
- uncorrected formation energy (eV per atom) = -1.61
- volume (Å³/cell) = 400
- spin magnetization (μB per formula unit) = 10.00

Structure (CIF):
```
data_CsSmMn2Cl8
_space_group_name_H-M_alt 'P 1'
_space_group_IT_number 1
_space_group_name_Hall 'P 1'
_cell_length_a 6.529
_cell_length_b 6.529
_cell_length_c 11.484
_cell_angle_alpha 73.48
_cell_angle_beta 73.48
_cell_angle_gamma 60.00
loop_
_atom_site_label
_atom_site_type_symbol
_atom_site_fract_x
_atom_site_fract_y
_atom_site_fract_z
_atom_site_occupancy
Mn1 Mn 0.245 0.245 0.265 1
Mn2 Mn 0.755 0.755 0.735 1
Cl1 Cl 0.128 0.771 0.661 1
Cl2 Cl 0.439 0.128 0.661 1
Cl3 Cl 0.771 0.439 0.661 1
Cl4 Cl 0.872 0.561 0.339 1
Cl5 Cl 0.685 0.685 0.944 1
Cl6 Cl 0.561 0.229 0.339 1
Cl7 Cl 0.229 0.872 0.339 1
Cl8 Cl 0.315 0.315 0.056 1
Sm1 Sm 0.500 0.500 0.500 1
Cs1 Cs 0.000 0.000 0.000 1
```

(2)
Below is a relaxed structure of Cs4Mn3SnCl12, with properties calculated at the PBE-GGA level.

Summary:
- uncorrected formation energy (eV per atom) = -1.46
- volume (Å³/cell) = 585
- spin magnetization (μB per formula unit) = 15.00

Structure (CIF):
```
data_Cs4Mn3SnCl12
_space_group_name_H-M_alt 'P 1'
_space_group_IT_number 1
_space_group_name_Hall 'P 1'
_cell_length_a 9.128
_cell_length_b 9.128
_cell_length_c 9.128
_cell_angle_alpha 109.47
_cell_angle_beta 109.47
_cell_angle_gamma 109.47
loop_
_atom_site_label
_atom_site_type_symbol
_atom_site_fract_x
_atom_site_fract_y
_atom_site_fract_z
_atom_site_occupancy
Cl1 Cl 0.266 0.000 0.266 1
Cl2 Cl 0.000 0.266 0.266 1
Cl3 Cl 0.500 0.750 0.250 1
Cl4 Cl 0.734 0.734 0.000 1
Cl5 Cl 0.500 0.250 0.750 1
Cl6 Cl 0.250 0.750 0.500 1
Cl7 Cl 0.250 0.500 0.750 1
Cl8 Cl 0.750 0.500 0.250 1
Cl9 Cl 0.750 0.250 0.500 1
Cl10 Cl 0.734 0.000 0.734 1
Cl11 Cl 0.000 0.734 0.734 1
Cl12 Cl 0.266 0.266 0.000 1
Sn1 Sn 0.000 0.000 0.000 1
Cs1 Cs 0.000 0.000 0.500 1
Cs2 Cs 0.500 0.500 0.500 1
Cs3 Cs 0.500 0.000 0.000 1
Cs4 Cs 0.000 0.500 0.000 1
Mn1 Mn 0.500 0.000 0.500 1
Mn2 Mn 0.500 0.500 0.000 1
Mn3 Mn 0.000 0.500 0.500 1
```

(3)
Below is a relaxed structure of CsMn2SnCl8, with properties calculated at the PBE-GGA level.

Summary:
- uncorrected formation energy (eV per atom) = -1.19
- volume (Å³/cell) = 390
- spin magnetization (μB per formula unit) = 8.96

Structure (CIF):
```
data_CsMn2SnCl8
_space_group_name_H-M_alt 'P 1'
_space_group_IT_number 1
_space_group_name_Hall 'P 1'
_cell_length_a 6.696
_cell_length_b 6.696
_cell_length_c 10.033
_cell_angle_alpha 90.00
_cell_angle_beta 90.00
_cell_angle_gamma 120.00
loop_
_atom_site_label
_atom_site_type_symbol
_atom_site_fract_x
_atom_site_fract_y
_atom_site_fract_z
_atom_site_occupancy
Cl1 Cl 0.674 0.682 0.664 1
Cl2 Cl 0.318 0.992 0.664 1
Cl3 Cl 0.667 0.333 0.042 1
Cl4 Cl 0.008 0.326 0.664 1
Cl5 Cl 0.326 0.318 0.336 1
Cl6 Cl 0.682 0.008 0.336 1
Cl7 Cl 0.333 0.667 0.958 1
Cl8 Cl 0.992 0.674 0.336 1
Mn1 Mn 0.667 0.333 0.266 1
Mn2 Mn 0.333 0.667 0.734 1
Cs1 Cs 0.000 0.000 0.000 1
Sn1 Sn 0.000 0.000 0.500 1
```

(4)
Below is a relaxed structure of CsSrMnCl6, with properties calculated at the PBE-GGA level.

Summary:
- uncorrected formation energy (eV per atom) = -1.70
- volume (Å³/cell) = 328
- spin magnetization (μB per formula unit) = 4.00

Structure (CIF):
```
data_CsSrMnCl6
_space_group_name_H-M_alt 'P 1'
_space_group_IT_number 1
_space_group_name_Hall 'P 1'
_cell_length_a 6.916
_cell_length_b 7.330
_cell_length_c 7.620
_cell_angle_alpha 92.08
_cell_angle_beta 91.18
_cell_angle_gamma 58.12
loop_
_atom_site_label
_atom_site_type_symbol
_atom_site_fract_x
_atom_site_fract_y
_atom_site_fract_z
_atom_site_occupancy
Cl1 Cl 0.055 0.338 0.325 1
Cl2 Cl 0.609 0.344 0.672 1
Cl3 Cl 0.057 0.604 0.676 1
Cl4 Cl 0.356 0.045 0.718 1
Cl5 Cl 0.608 0.049 0.328 1
Cl6 Cl 0.352 0.601 0.283 1
Cs1 Cs 0.992 0.004 0.999 1
Sr1 Sr 0.636 0.683 0.499 1
Mn1 Mn 0.335 0.333 0.500 1
```

(5)
Below is a relaxed structure of Cs4SrMn3Cl12, with properties calculated at the PBE-GGA level.

Summary:
- uncorrected formation energy (eV per atom) = -1.67
- volume (Å³/cell) = 593
- spin magnetization (μB per formula unit) = 15.00

Structure (CIF):
```
data_Cs4SrMn3Cl12
_space_group_name_H-M_alt 'P 1'
_space_group_IT_number 1
_space_group_name_Hall 'P 1'
_cell_length_a 9.168
_cell_length_b 9.168
_cell_length_c 9.168
_cell_angle_alpha 109.47
_cell_angle_beta 109.47
_cell_angle_gamma 109.47
loop_
_atom_site_label
_atom_site_type_symbol
_atom_site_fract_x
_atom_site_fract_y
_atom_site_fract_z
_atom_site_occupancy
Cl1 Cl 0.250 0.750 0.500 1
Cl2 Cl 0.750 0.500 0.250 1
Cl3 Cl 0.267 0.000 0.267 1
Cl4 Cl 0.733 0.000 0.733 1
Cl5 Cl 0.750 0.250 0.500 1
Cl6 Cl 0.250 0.500 0.750 1
Cl7 Cl 0.000 0.267 0.267 1
Cl8 Cl 0.733 0.733 0.000 1
Cl9 Cl 0.500 0.250 0.750 1
Cl10 Cl 0.500 0.750 0.250 1
Cl11 Cl 0.267 0.267 0.000 1
Cl12 Cl 0.000 0.733 0.733 1
Cs1 Cs 0.500 0.500 0.500 1
Cs2 Cs 0.000 0.500 0.000 1
Cs3 Cs 0.500 0.000 0.000 1
Cs4 Cs 0.000 0.000 0.500 1
Mn1 Mn 0.500 0.000 0.500 1
Mn2 Mn 0.000 0.500 0.500 1
Mn3 Mn 0.500 0.500 0.000 1
Sr1 Sr 0.000 0.000 0.000 1
```

(6)
Below is a relaxed structure of Cs2SrMnCl6, with properties calculated at the PBE-GGA level.

Summary:
- uncorrected formation energy (eV per atom) = -1.89
- volume (Å³/cell) = 319
- spin magnetization (μB per formula unit) = 5.00
- ΔE to the lowest computed polymorph (meV per atom) = 0

Structure (CIF):
```
data_Cs2SrMnCl6
_space_group_name_H-M_alt 'P 1'
_space_group_IT_number 1
_space_group_name_Hall 'P 1'
_cell_length_a 7.666
_cell_length_b 7.666
_cell_length_c 7.666
_cell_angle_alpha 60.00
_cell_angle_beta 60.00
_cell_angle_gamma 90.00
loop_
_atom_site_label
_atom_site_type_symbol
_atom_site_fract_x
_atom_site_fract_y
_atom_site_fract_z
_atom_site_occupancy
Sr1 Sr 0.000 0.000 0.000 1
Cl1 Cl 0.265 0.735 0.000 1
Cl2 Cl 0.735 0.735 0.000 1
Cl3 Cl 0.735 0.735 0.529 1
Cl4 Cl 0.265 0.265 0.000 1
Cl5 Cl 0.735 0.265 0.000 1
Cl6 Cl 0.265 0.265 0.471 1
Cs1 Cs 0.250 0.750 0.500 1
Cs2 Cs 0.750 0.250 0.500 1
Mn1 Mn 0.500 0.500 0.000 1
```

- What is the formula in the third record?
  CsMn2SnCl8